[1]
Tb6CeHo2Tm3: relaxed, PBE.

Unit cell a=6.124 b=6.124 c=11.710 alpha=95.00 beta=95.00 gamma=119.98
Each line ends with the local moment (μB).
Fractional coordinates of all 12 atoms:
Tb 0.415 0.084 0.251  0.02
Tb 0.084 0.415 0.251  0.02
Tb 0.916 0.585 0.749  0.02
Tm 0.167 0.833 0.500  -0.02
Ce 0.000 0.000 0.000  0.78
Tm 0.833 0.167 0.500  -0.02
Ho 0.667 0.333 0.000  0.06
Tb 0.752 0.752 0.251  0.02
Ho 0.333 0.667 0.000  0.06
Tb 0.248 0.248 0.749  0.02
Tm 0.500 0.500 0.500  -0.02
Tb 0.585 0.916 0.749  0.02

The energy comes out at -4.65 eV/atom. Its magnetic moment is 1.21 μB per cell.


[2]
TbCeHoTm3: relaxed, PBE.

Unit cell a=4.978 b=7.844 c=9.927 alpha=90.00 beta=90.00 gamma=108.51
Each line ends with the local moment (μB).
Fractional coordinates of all 12 atoms:
Ho 0.168 0.335 0.250  0.00
Tm 0.167 0.335 0.750  0.00
Tm 0.335 0.669 0.500  0.02
Tb 0.000 0.000 0.500  0.07
Ce 0.500 0.000 0.750  0.72
Ho 0.832 0.665 0.750  0.00
Tb 0.000 0.000 0.000  0.07
Tm 0.665 0.331 0.500  0.02
Ce 0.500 0.000 0.250  0.72
Tm 0.665 0.331 0.000  0.02
Tm 0.335 0.669 0.000  0.02
Tm 0.833 0.665 0.250  0.00

The energy comes out at -4.70 eV/atom. Its magnetic moment is 2.03 μB per cell.


[3]
Tb3Ce2Ho6Tm: relaxed, PBE.

Unit cell a=6.108 b=6.108 c=11.679 alpha=95.00 beta=95.00 gamma=119.98
Each line ends with the local moment (μB).
Fractional coordinates of all 12 atoms:
Tm 0.000 0.000 0.000  0.07
Tb 0.834 0.166 0.500  -0.02
Ho 0.748 0.748 0.248  0.01
Ho 0.418 0.083 0.248  0.01
Ce 0.666 0.334 0.000  0.70
Ho 0.252 0.252 0.752  0.01
Ho 0.582 0.917 0.752  0.01
Ho 0.917 0.582 0.752  0.01
Ce 0.334 0.666 0.000  0.70
Tb 0.500 0.500 0.500  -0.02
Tb 0.166 0.834 0.500  -0.02
Ho 0.083 0.418 0.248  0.01

The energy comes out at -4.76 eV/atom. Its magnetic moment is 1.79 μB per cell.


[4]
TbCeHo3Tm: relaxed, PBE.

Unit cell a=4.992 b=7.876 c=9.959 alpha=90.00 beta=90.00 gamma=108.48
Each line ends with the local moment (μB).
Fractional coordinates of all 12 atoms:
Tb 0.000 0.000 0.000  0.08
Ho 0.167 0.335 0.750  0.01
Ho 0.335 0.670 0.500  0.02
Tb 0.000 0.000 0.500  0.08
Ho 0.335 0.670 0.000  0.02
Ce 0.500 0.000 0.750  0.74
Ce 0.500 0.000 0.250  0.74
Ho 0.665 0.330 0.500  0.02
Ho 0.665 0.330 0.000  0.02
Tm 0.167 0.334 0.250  0.01
Ho 0.833 0.665 0.250  0.01
Tm 0.833 0.666 0.750  0.01

The energy comes out at -4.74 eV/atom. Its magnetic moment is 2.15 μB per cell.


[5]
Tb6CeHo2Tm: relaxed, PBE.

Unit cell a=8.908 b=6.747 c=6.616 alpha=120.66 beta=104.98 gamma=90.00
Each line ends with the local moment (μB).
Fractional coordinates of all 10 atoms:
Ce 0.000 0.500 0.000  0.83
Ho 0.176 0.090 0.180  0.06
Tb 0.802 0.409 0.337  0.05
Tb 0.198 0.073 0.663  0.05
Tm 0.500 0.000 0.000  -0.02
Ho 0.824 0.910 0.820  0.06
Tb 0.802 0.927 0.337  0.05
Tb 0.198 0.591 0.663  0.05
Tb 0.420 0.630 0.260  0.06
Tb 0.580 0.370 0.740  0.06

The energy comes out at -4.48 eV/atom. Its magnetic moment is 1.66 μB per cell.


[6]
TbCeHo5Tm2: relaxed, PBE.

Unit cell a=5.647 b=11.018 c=9.504 alpha=90.00 beta=90.00 gamma=104.85
Each line ends with the local moment (μB).
Fractional coordinates of all 18 atoms:
Tb 0.597 0.194 0.926  -0.02
Ho 0.529 0.058 0.246  -0.02
Tm 0.866 0.733 0.207  0.02
Ho 0.014 0.027 0.013  -0.01
Ce 0.808 0.616 0.522  0.54
Tm 0.113 0.227 0.322  0.01
Tm 0.134 0.267 0.707  0.02
Ho 0.267 0.534 0.331  0.03
Ho 0.986 0.973 0.513  -0.01
Ho 0.471 0.942 0.746  -0.02
Ho 0.733 0.466 0.831  0.03
Ho 0.694 0.388 0.213  0.03
Ho 0.606 0.212 0.543  -0.01
Ho 0.306 0.612 0.713  0.03
Ce 0.192 0.384 0.022  0.54
Tb 0.403 0.806 0.426  -0.02
Tm 0.887 0.773 0.822  0.01
Ho 0.394 0.788 0.043  -0.01

The energy comes out at -4.54 eV/atom. Its magnetic moment is 1.29 μB per cell.


[7]
Tb2CeHo6Tm3: relaxed, PBE.

Unit cell a=6.102 b=6.102 c=11.672 alpha=95.00 beta=95.00 gamma=119.97
Each line ends with the local moment (μB).
Fractional coordinates of all 12 atoms:
Tm 0.167 0.833 0.500  -0.02
Tb 0.333 0.667 0.000  0.04
Tb 0.667 0.333 0.000  0.04
Ho 0.415 0.084 0.252  0.02
Ho 0.585 0.916 0.748  0.02
Tm 0.500 0.500 0.500  -0.02
Ce 0.000 0.000 0.000  0.75
Ho 0.916 0.585 0.748  0.02
Ho 0.753 0.753 0.252  0.02
Ho 0.084 0.415 0.252  0.02
Tm 0.833 0.167 0.500  -0.02
Ho 0.247 0.247 0.748  0.02

The energy comes out at -4.63 eV/atom. Its magnetic moment is 1.09 μB per cell.


[8]
Tb3CeHo2Tm6: relaxed, PBE.

Unit cell a=6.092 b=6.092 c=11.622 alpha=95.01 beta=95.01 gamma=119.97
Each line ends with the local moment (μB).
Fractional coordinates of all 12 atoms:
Tm 0.248 0.248 0.751  0.02
Tm 0.084 0.415 0.249  0.02
Ce 0.000 0.000 0.000  0.73
Ho 0.667 0.333 0.000  0.04
Tb 0.168 0.832 0.500  -0.02
Tb 0.500 0.500 0.500  -0.02
Tb 0.832 0.168 0.500  -0.02
Ho 0.333 0.667 0.000  0.04
Tm 0.585 0.916 0.751  0.02
Tm 0.752 0.752 0.249  0.02
Tm 0.415 0.084 0.249  0.02
Tm 0.916 0.585 0.751  0.02

The energy comes out at -4.61 eV/atom. Its magnetic moment is 1.07 μB per cell.


[9]
Tb4CeHo2Tm: relaxed, PBE.

Unit cell a=3.535 b=6.120 c=11.728 alpha=80.00 beta=90.00 gamma=90.00
Each line ends with the local moment (μB).
Fractional coordinates of all 8 atoms:
Tm 0.500 0.500 0.000  -0.01
Ho 0.500 0.000 0.500  0.03
Tb 0.500 0.746 0.251  0.01
Ce 0.000 0.500 0.500  0.65
Tb 0.000 0.748 0.750  0.00
Tb 0.000 0.252 0.250  0.00
Ho 0.000 0.000 0.000  -0.02
Tb 0.500 0.254 0.749  0.01

The energy comes out at -4.72 eV/atom. Its magnetic moment is 0.79 μB per cell.


[10]
Tb6Ce2HoTm3: relaxed, PBE.

Unit cell a=6.115 b=6.115 c=11.707 alpha=95.00 beta=95.00 gamma=120.00
Each line ends with the local moment (μB).
Fractional coordinates of all 12 atoms:
Tb 0.749 0.749 0.251  0.01
Tb 0.581 0.916 0.750  0.01
Tb 0.916 0.581 0.750  0.01
Tm 0.834 0.166 0.500  -0.02
Tm 0.166 0.834 0.500  -0.02
Tb 0.084 0.419 0.250  0.01
Tm 0.500 0.500 0.500  -0.02
Tb 0.419 0.084 0.250  0.01
Tb 0.251 0.251 0.749  0.01
Ce 0.667 0.333 0.000  0.74
Ce 0.333 0.667 0.000  0.74
Ho 0.000 0.000 0.000  0.07

The energy comes out at -4.75 eV/atom. Its magnetic moment is 1.92 μB per cell.